1.
The following is a DFT calculation (PBE) of a relaxed structure of Tb2YHo6Sc.

a b c (Å): 9.4044 8.6639 8.6639
angles (deg): 117.69 93.87 93.87
Atoms (fractional coordinates):
Sc 0.2500 0.4129 0.5871
Sc 0.7500 0.5871 0.4129
Ho 0.1904 0.5668 0.0089
Ho 0.5557 0.7515 0.1288
Ho 0.6904 0.0089 0.5668
Ho 0.8096 0.4332 0.9911
Ho 0.4443 0.2485 0.8712
Ho 0.9443 0.8712 0.2485
Ho 0.8835 0.2910 0.5036
Ho 0.1165 0.7090 0.4964
Ho 0.6165 0.4964 0.7090
Ho 0.0557 0.1288 0.7515
Ho 0.3835 0.5036 0.2910
Ho 0.3096 0.9911 0.4332
Tb 0.4542 0.7997 0.6936
Tb 0.5458 0.2003 0.3064
Tb 0.9542 0.6936 0.7997
Tb 0.0458 0.3064 0.2003
Y 0.2500 0.9792 0.0208
Y 0.7500 0.0208 0.9792

Summary:
SG = C2/c (15)
spin magnetization = 0.00 μB per cell

=====

2.
The following is a DFT calculation (PBE) of a relaxed structure of TbY6Ho2Sc3.

a b c (Å): 6.0582 6.0582 11.5056
angles (deg): 95.03 95.03 119.97
Atoms (fractional coordinates):
Y 0.0862 0.4197 0.2587
Y 0.4197 0.0862 0.2587
Y 0.2471 0.2471 0.7412
Y 0.7529 0.7529 0.2588
Y 0.5803 0.9138 0.7413
Y 0.9138 0.5803 0.7413
Tb 0.0000 0.0000 0.0000
Sc 0.5000 0.5000 0.5000
Sc 0.1669 0.8331 0.5000
Sc 0.8331 0.1669 0.5000
Ho 0.3334 0.6666 0.0000
Ho 0.6666 0.3334 0.0000

Summary:
SG = C2/m (12)
spin magnetization = 0.00 μB per cell

=====

| no. | formation energy from the elements (eV/atom) |
| --- | --- |
| 1 | 0.12 |
| 2 | 0.05 |